Compound: RbNa2Sn2I7
Source: Alexandria
Functional: PBE-GGA
Structure: optimized geometry

- ρ: 3.97 Mg/m³
- Energy relative to the elements, uncorrected: -1048 kJ/mol of formula units

```
data_RbNa2Sn2I7
_cell_length_a 6.377
_cell_length_b 25.518
_cell_length_c 6.462
_cell_angle_alpha 90.00
_cell_angle_beta 90.00
_cell_angle_gamma 90.00
_space_group_name_H-M_alt 'I m m 2'
_space_group_IT_number 44
loop_
_space_group_symop_operation_xyz
'x,y,z'
'-x,-y,z'
'-x,y,z'
'x,-y,z'
'x+1/2,y+1/2,z+1/2'
'-x+1/2,-y+1/2,z+1/2'
'-x+1/2,y+1/2,z+1/2'
'x+1/2,-y+1/2,z+1/2'
loop_
_atom_site_label
_atom_site_fract_x
_atom_site_fract_y
_atom_site_fract_z
_atom_site_occupancy
Rb1 0.000 0.000 0.000 1
Na1 0.000 0.251 0.380 1
Sn1 0.000 0.377 0.897 1
I1 0.000 0.122 0.371 1
I2 0.000 0.253 0.881 1
I3 0.000 0.380 0.364 1
I4 0.000 0.500 0.845 1
```